A geometry-optimized NpTaTl structure. Source: OQMD, functional PBE.

Total DFT energy (no corrections) in eV/atom: -7.717
SG: F-43m, No. 216
Spin magnetization in μB per formula unit: 5.09

Cell lengths 4.865, 4.865, 4.865 Å; angles 60.00, 60.00, 60.00 degrees
Sites, in units of the cell vectors:
Np  0.000  0.000  0.000
Ta  0.500  0.500  0.500
Tl  0.250  0.250  0.250